# 1
Density functional theory data (meta-GGA SCAN) for a PBEsol-optimized structure of B2MoW2.

Unit cell a=5.9893 b=5.9893 c=3.1519 alpha=90.00 beta=90.00 gamma=90.00
Closest atoms and distances in Å follow each position.
Sites, in units of the cell vectors:
1 B 0.1157 0.3843 0.0000  1 B 1.96
2 B 0.3843 0.8843 0.0000  1 B 1.96
3 B 0.6157 0.1157 0.0000  1 B 1.96
4 B 0.8843 0.6157 0.0000  1 B 1.96
5 Mo 0.0000 0.0000 0.0000  4 B 2.40
6 Mo 0.5000 0.5000 0.0000  4 B 2.40
7 W 0.1709 0.6709 0.5000  6 B 2.35-2.40
8 W 0.3291 0.1709 0.5000  6 B 2.35-2.40
9 W 0.6709 0.8291 0.5000  6 B 2.35-2.40
10 W 0.8291 0.3291 0.5000  6 B 2.35-2.40

Computed properties:
Its space-group type is P4/mbm, No. 127. The volume is 56.53 Å³/f.u. The value obtained for the total moment is 0.000 μB/f.u. The formation energy comes out at -0.257 eV/atom. As for the total DFT energy (no corrections): -380.81 eV for the cell shown.

=====

# 2
Density functional theory data (meta-GGA SCAN) for a PBEsol-optimized structure of SeBr.

Unit cell a=4.1770 b=3.6538 c=7.0188 alpha=90.00 beta=90.97 gamma=90.00
Closest atoms and distances in Å follow each position.
Sites, in units of the cell vectors:
1 Se 0.0172 0.2500 0.1191  2 Se 2.48, 2 Br 2.77
2 Se 0.9828 0.7500 0.8809  2 Se 2.48, 2 Br 2.77
3 Br 0.3413 0.7500 0.3490  2 Se 2.77, 2 Br 3.08
4 Br 0.6587 0.2500 0.6510  2 Se 2.77, 2 Br 3.08

Computed properties:
Its space-group type is P2_1/m, No. 11. The volume is 53.55 Å³/f.u. The value obtained for the total moment is 0.000 μB/f.u. The formation energy (no corrections) comes out at 131 meV per atom. As for the total DFT energy (no corrections): -78.55 eV for the cell shown.

=====

# 3
Density functional theory data (meta-GGA SCAN) for a PBEsol-optimized structure of AsWCl2.

Unit cell a=4.0279 b=4.0279 c=4.2513 alpha=90.00 beta=90.00 gamma=90.00
Closest atoms and distances in Å follow each position.
Sites, in units of the cell vectors:
1 As 0.0000 0.0000 0.0000  4 W 2.85, 8 Cl 2.93
2 W 0.5000 0.5000 0.0000  4 As 2.85, 8 Cl 2.93
3 Cl 0.0000 0.5000 0.5000  4 Cl 2.85, 4 W 2.93, 4 As 2.93
4 Cl 0.5000 0.0000 0.5000  4 Cl 2.85, 4 W 2.93, 4 As 2.93

Computed properties:
Its space-group type is P4/mmm, No. 123. The volume is 68.97 Å³/f.u. The value obtained for the total moment is 2.647 μB/f.u. The formation energy (no corrections) comes out at 1177 meV per atom. As for the total DFT energy (no corrections): -101.13 eV for the cell shown.

=====

# 4
Density functional theory data (meta-GGA SCAN) for a PBEsol-optimized structure of Na4Al3Si3BH4O12.

Unit cell a=8.8821 b=8.8821 c=8.8821 alpha=90.00 beta=90.00 gamma=90.00
Closest atoms and distances in Å follow each position.
Sites, in units of the cell vectors:
1 Na 0.1747 0.1747 0.1747  3 O 2.33, 3 H 2.56
2 Na 0.1747 0.8253 0.8253  3 O 2.33, 3 H 2.56
3 Na 0.3253 0.3253 0.6747  3 O 2.33, 3 H 2.56
4 Na 0.3253 0.6747 0.3253  3 O 2.33, 3 H 2.56
5 Na 0.6747 0.3253 0.3253  3 O 2.33, 3 H 2.56
6 Na 0.6747 0.6747 0.6747  3 O 2.33, 3 H 2.56
7 Na 0.8253 0.1747 0.8253  3 O 2.33, 3 H 2.56
8 Na 0.8253 0.8253 0.1747  3 O 2.33, 3 H 2.56
9 Al 0.0000 0.2500 0.5000  4 O 1.75
10 Al 0.0000 0.7500 0.5000  4 O 1.75
11 Al 0.2500 0.5000 0.0000  4 O 1.75
12 Al 0.5000 0.0000 0.2500  4 O 1.75
13 Al 0.5000 0.0000 0.7500  4 O 1.75
14 Al 0.7500 0.5000 0.0000  4 O 1.75
15 Si 0.0000 0.5000 0.2500  4 O 1.63
16 Si 0.0000 0.5000 0.7500  4 O 1.63
17 Si 0.2500 0.0000 0.5000  4 O 1.63
18 Si 0.5000 0.2500 0.0000  4 O 1.63
19 Si 0.5000 0.7500 0.0000  4 O 1.63
20 Si 0.7500 0.0000 0.5000  4 O 1.63
21 B 0.0000 0.0000 0.0000  4 H 1.23
22 B 0.5000 0.5000 0.5000  4 H 1.23
23 H 0.0802 0.0802 0.9198  1 B 1.23
24 H 0.0802 0.9198 0.0802  1 B 1.23
25 H 0.4198 0.4198 0.4198  1 B 1.23
26 H 0.4198 0.5802 0.5802  1 B 1.23
27 H 0.5802 0.4198 0.5802  1 B 1.23
28 H 0.5802 0.5802 0.4198  1 B 1.23
29 H 0.9198 0.0802 0.0802  1 B 1.23
30 H 0.9198 0.9198 0.9198  1 B 1.23
31 O 0.0663 0.3615 0.6486  1 Si 1.63, 1 Al 1.75
32 O 0.0663 0.6385 0.3514  1 Si 1.63, 1 Al 1.75
33 O 0.1385 0.4337 0.1486  1 Si 1.63, 1 Al 1.75
34 O 0.1385 0.5663 0.8514  1 Si 1.63, 1 Al 1.75
35 O 0.1486 0.1385 0.4337  1 Si 1.63, 1 Al 1.75
36 O 0.1486 0.8615 0.5663  1 Si 1.63, 1 Al 1.75
37 O 0.3514 0.0663 0.6385  1 Si 1.63, 1 Al 1.75
38 O 0.3514 0.9337 0.3615  1 Si 1.63, 1 Al 1.75
39 O 0.3615 0.3514 0.9337  1 Si 1.63, 1 Al 1.75
40 O 0.3615 0.6486 0.0663  1 Si 1.63, 1 Al 1.75
41 O 0.4337 0.1486 0.1385  1 Si 1.63, 1 Al 1.75
42 O 0.4337 0.8514 0.8615  1 Si 1.63, 1 Al 1.75
43 O 0.5663 0.1486 0.8615  1 Si 1.63, 1 Al 1.75
44 O 0.5663 0.8514 0.1385  1 Si 1.63, 1 Al 1.75
45 O 0.6385 0.3514 0.0663  1 Si 1.63, 1 Al 1.75
46 O 0.6385 0.6486 0.9337  1 Si 1.63, 1 Al 1.75
47 O 0.6486 0.0663 0.3615  1 Si 1.63, 1 Al 1.75
48 O 0.6486 0.9337 0.6385  1 Si 1.63, 1 Al 1.75
49 O 0.8514 0.1385 0.5663  1 Si 1.63, 1 Al 1.75
50 O 0.8514 0.8615 0.4337  1 Si 1.63, 1 Al 1.75
51 O 0.8615 0.4337 0.8514  1 Si 1.63, 1 Al 1.75
52 O 0.8615 0.5663 0.1486  1 Si 1.63, 1 Al 1.75
53 O 0.9337 0.3615 0.3514  1 Si 1.63, 1 Al 1.75
54 O 0.9337 0.6385 0.6486  1 Si 1.63, 1 Al 1.75

Computed properties:
Its space-group type is P-43n, No. 218. The volume is 350.37 Å³/f.u. The value obtained for the total moment is 0.000 μB/f.u. As for the total DFT energy (no corrections): -464.83 eV for the cell shown.

=====

# 5
Density functional theory data (meta-GGA SCAN) for a PBEsol-optimized structure of Y2ZnGa.

Unit cell a=4.9762 b=4.9762 c=4.9762 alpha=60.00 beta=60.00 gamma=60.00
Closest atoms and distances in Å follow each position.
Sites, in units of the cell vectors:
1 Y 0.2500 0.2500 0.2500  4 Zn 3.05, 4 Ga 3.05
2 Y 0.7500 0.7500 0.7500  4 Ga 3.05, 4 Zn 3.05
3 Zn 0.0000 0.0000 0.0000  8 Y 3.05
4 Ga 0.5000 0.5000 0.5000  8 Y 3.05

Computed properties:
Its space-group type is Fm-3m, No. 225. The volume is 87.13 Å³/f.u. The value obtained for the total moment is 0.000 μB/f.u. The formation energy comes out at -0.602 eV/atom. As for the total DFT energy (no corrections): -87.96 eV for the cell shown.

=====

# 6
Density functional theory data (meta-GGA SCAN) for a PBEsol-optimized structure of YCrIn.

Unit cell a=6.2431 b=6.2431 c=6.2431 alpha=149.23 beta=149.23 gamma=44.07
Closest atoms and distances in Å follow each position.
Sites, in units of the cell vectors:
1 Y 0.0000 0.0000 0.0000  4 Cr 3.02, 4 In 3.29, 4 Y 3.31
2 Cr 0.6643 0.6643 0.0000  4 In 2.82, 4 Y 3.02
3 In 0.3003 0.3003 0.0000  4 Cr 2.82

Computed properties:
Its space-group type is I4mm, No. 107. The volume is 63.51 Å³/f.u. The value obtained for the total moment is 3.414 μB/f.u. The formation energy comes out at -0.110 eV/atom. As for the total DFT energy (no corrections): -79.95 eV for the cell shown.

=====

# 7
Density functional theory data (meta-GGA SCAN) for a PBEsol-optimized structure of BeSN2F.

Unit cell a=3.4732 b=3.4732 c=6.1503 alpha=90.00 beta=90.00 gamma=90.00
Closest atoms and distances in Å follow each position.
Sites, in units of the cell vectors:
1 Be 0.0000 0.0000 0.0000  4 S 2.46
2 S 0.5000 0.5000 0.0000  4 Be 2.46
3 N 0.0000 0.5000 0.5000  2 F 1.74
4 N 0.5000 0.0000 0.5000  2 F 1.74
5 F 0.5000 0.5000 0.5000  4 N 1.74

Computed properties:
Its space-group type is P4/mmm, No. 123. The volume is 74.19 Å³/f.u. The value obtained for the total moment is 3.840 μB/f.u. The formation energy (no corrections) comes out at 2048 meV per atom. As for the total DFT energy (no corrections): -25.87 eV for the cell shown.

=====

# 8
Density functional theory data (meta-GGA SCAN) for a PBEsol-optimized structure of LaZr2Pd.

Unit cell a=4.8494 b=4.8494 c=4.8494 alpha=60.00 beta=60.00 gamma=60.00
Closest atoms and distances in Å follow each position.
Sites, in units of the cell vectors:
1 La 0.0000 0.0000 0.0000  8 Zr 2.97
2 Zr 0.2500 0.2500 0.2500  4 Pd 2.97, 4 La 2.97
3 Zr 0.7500 0.7500 0.7500  4 Pd 2.97, 4 La 2.97
4 Pd 0.5000 0.5000 0.5000  8 Zr 2.97

Computed properties:
Its space-group type is Fm-3m, No. 225. The volume is 80.64 Å³/f.u. The value obtained for the total moment is 0.000 μB/f.u. The formation energy comes out at -0.104 eV/atom. As for the total DFT energy (no corrections): -137.69 eV for the cell shown.